[1]
VASP calculation (PBE) on a relaxed Mo2NCl8 crystal.

space-group type = C2/m (12)
electronic total energy = -4.798 eV/atom
E_form (uncorrected) = -0.729 eV/atom
crystal system = monoclinic

a = 8.6228 Å, b = 8.6228 Å, c = 7.4586 Å
α = 110.24°, β = 110.24°, γ = 59.57°
Last column: nearest neighbours and their distance in Å.
Fractional coordinates of all 11 atoms:
Mo 0.1216 0.1216 0.1913  1 N 1.81
Mo 0.8784 0.8784 0.8087  1 N 1.81
N 0.0000 0.0000 0.0000  2 Mo 1.81
Cl 0.1254 0.1254 0.4982  1 Mo 2.27
Cl 0.1434 0.6001 0.7964  1 Mo 2.33
Cl 0.2418 0.2418 0.0796  1 Mo 2.26
Cl 0.3999 0.8566 0.2036  1 Mo 2.33
Cl 0.6001 0.1434 0.7964  1 Mo 2.33
Cl 0.7582 0.7582 0.9204  1 Mo 2.26
Cl 0.8566 0.3999 0.2036  1 Mo 2.33
Cl 0.8746 0.8746 0.5018  1 Mo 2.27


[2]
VASP calculation (PBE) on a relaxed MoOsN2Cl crystal.

space-group type = P4/mmm (123)
electronic total energy = -5.378 eV/atom
E_form (uncorrected) = 2.734 eV/atom
crystal system = tetragonal

a = 3.8176 Å, b = 3.8176 Å, c = 4.5044 Å
α = 90.00°, β = 90.00°, γ = 90.00°
Last column: nearest neighbours and their distance in Å.
Fractional coordinates of all 5 atoms:
Mo 0.0000 0.0000 0.0000  4 Os 2.70, 8 N 2.95
Os 0.5000 0.5000 0.0000  2 Cl 2.25
N 0.0000 0.5000 0.5000  2 Cl 1.91
N 0.5000 0.0000 0.5000  2 Cl 1.91
Cl 0.5000 0.5000 0.5000  4 N 1.91


[3]
VASP calculation (PBE) on a relaxed ReMo2NCl crystal.

space-group type = P4/mmm (123)
electronic total energy = -7.473 eV/atom
E_form (uncorrected) = 1.383 eV/atom
crystal system = tetragonal

a = 5.1353 Å, b = 5.1353 Å, c = 3.8060 Å
α = 90.00°, β = 90.00°, γ = 90.00°
Last column: nearest neighbours and their distance in Å.
Fractional coordinates of all 5 atoms:
Re 0.0000 0.0000 0.0000  2 N 1.90
Mo 0.0000 0.5000 0.0000  2 Re 2.57
Mo 0.5000 0.0000 0.0000  2 Re 2.57
N 0.0000 0.0000 0.5000  2 Re 1.90
Cl 0.5000 0.5000 0.5000  8 Mo 3.20


[4]
VASP calculation (PBE) on a relaxed MoRu2NCl crystal.

space-group type = P4/mmm (123)
electronic total energy = -5.578 eV/atom
E_form (uncorrected) = 2.333 eV/atom
crystal system = tetragonal

a = 4.7195 Å, b = 4.7195 Å, c = 4.5153 Å
α = 90.00°, β = 90.00°, γ = 90.00°
Last column: nearest neighbours and their distance in Å.
Fractional coordinates of all 5 atoms:
Mo 0.0000 0.0000 0.0000  2 Cl 2.26, 4 Ru 2.36
Ru 0.0000 0.5000 0.0000  2 Mo 2.36
Ru 0.5000 0.0000 0.0000  2 Mo 2.36
N 0.5000 0.5000 0.5000  8 Ru 3.27, 4 Cl 3.34
Cl 0.0000 0.0000 0.5000  2 Mo 2.26


[5]
VASP calculation (PBE) on a relaxed MoRuNCl2 crystal.

space-group type = P4/mmm (123)
electronic total energy = -4.905 eV/atom
E_form (uncorrected) = 1.520 eV/atom
crystal system = tetragonal

a = 4.7015 Å, b = 4.7015 Å, c = 4.8964 Å
α = 90.00°, β = 90.00°, γ = 90.00°
Last column: nearest neighbours and their distance in Å.
Fractional coordinates of all 5 atoms:
Mo 0.0000 0.0000 0.0000  4 Cl 2.35, 2 Ru 2.45
Ru 0.0000 0.0000 0.5000  2 Mo 2.45
N 0.5000 0.5000 0.5000  4 Ru 3.32, 8 Cl 3.39
Cl 0.0000 0.5000 0.0000  2 Mo 2.35
Cl 0.5000 0.0000 0.0000  2 Mo 2.35


[6]
VASP calculation (PBE) on a relaxed MoS2N2Cl5 crystal.

space-group type = P-1 (2)
electronic total energy = -4.826 eV/atom
E_form (uncorrected) = -0.329 eV/atom
crystal system = triclinic

a = 7.6237 Å, b = 7.6807 Å, c = 10.3239 Å
α = 76.19°, β = 78.40°, γ = 83.70°
Last column: nearest neighbours and their distance in Å.
Fractional coordinates of all 20 atoms:
Mo 0.1694 0.1663 0.2344  1 N 1.79
Mo 0.8306 0.8337 0.7656  1 N 1.79
S 0.0466 0.4082 0.9170  2 N 1.65-1.66
S 0.3529 0.8259 0.4452  1 N 1.56
S 0.6471 0.1741 0.5548  1 N 1.56
S 0.9534 0.5918 0.0830  2 N 1.65-1.66
N 0.0535 0.3899 0.0787  2 S 1.65-1.66
N 0.2644 0.9867 0.3503  1 S 1.56
N 0.7356 0.0133 0.6497  1 S 1.56
N 0.9465 0.6101 0.9213  2 S 1.65-1.66
Cl 0.0537 0.3753 0.3647  1 Mo 2.33
Cl 0.1190 0.9526 0.7110  1 Mo 2.38
Cl 0.2301 0.0473 0.0411  1 Mo 2.33
Cl 0.4382 0.3150 0.1610  1 Mo 2.36
Cl 0.4549 0.6475 0.3233  1 S 2.06
Cl 0.5451 0.3525 0.6767  1 S 2.06
Cl 0.5618 0.6850 0.8390  1 Mo 2.36
Cl 0.7699 0.9527 0.9589  1 Mo 2.33
Cl 0.8810 0.0474 0.2890  1 Mo 2.38
Cl 0.9463 0.6247 0.6353  1 Mo 2.33


[7]
VASP calculation (PBE) on a relaxed SbMoNCl2 crystal.

space-group type = P4/mmm (123)
electronic total energy = -3.805 eV/atom
E_form (uncorrected) = 1.589 eV/atom
crystal system = tetragonal

a = 5.1977 Å, b = 5.1977 Å, c = 5.7022 Å
α = 90.00°, β = 90.00°, γ = 90.00°
Last column: nearest neighbours and their distance in Å.
Fractional coordinates of all 5 atoms:
Sb 0.0000 0.0000 0.0000  4 Cl 2.60, 2 Mo 2.85
Mo 0.0000 0.0000 0.5000  2 Sb 2.85
N 0.5000 0.5000 0.5000  4 Mo 3.68, 8 Cl 3.86
Cl 0.0000 0.5000 0.0000  2 Sb 2.60
Cl 0.5000 0.0000 0.0000  2 Sb 2.60


[8]
VASP calculation (PBE) on a relaxed MoSeN2Cl crystal.

space-group type = P4/mmm (123)
electronic total energy = -6.039 eV/atom
E_form (uncorrected) = 0.523 eV/atom
crystal system = tetragonal

a = 3.8885 Å, b = 3.8885 Å, c = 5.4434 Å
α = 90.00°, β = 90.00°, γ = 90.00°
Last column: nearest neighbours and their distance in Å.
Fractional coordinates of all 5 atoms:
Mo 0.0000 0.0000 0.0000  4 N 1.94
Se 0.0000 0.0000 0.5000  2 Mo 2.72, 4 Cl 2.75
N 0.0000 0.5000 0.0000  2 Mo 1.94
N 0.5000 0.0000 0.0000  2 Mo 1.94
Cl 0.5000 0.5000 0.5000  4 Se 2.75